Model 1:
DFT (PBE-GGA) results for a geometry-optimized NbReMo2H structure.

Cell and atoms, written as POSCAR:
```
NbReMo2H
1.0
3.973 0.000 0.000
0.000 3.973 0.000
0.000 0.000 4.275
Nb Re Mo H
1 1 2 1
Cartesian
0.000 0.000 0.000
1.986 1.986 0.000
0.000 1.986 2.138
1.986 0.000 2.138
0.000 0.000 2.138
```

D(E_F) (states/eV/f.u.): 4.0

---

Model 2:
DFT (PBE-GGA) results for a geometry-optimized NbReMo2H structure.

Cell and atoms, written as POSCAR:
```
NbReMo2H
1.0
4.024 0.000 0.000
0.000 4.024 0.000
0.000 0.000 4.165
Nb Re Mo H
1 1 2 1
Cartesian
0.000 0.000 0.000
2.012 2.012 0.000
0.000 2.012 2.082
2.012 0.000 2.082
2.012 2.012 2.082
```

D(E_F) (states/eV/f.u.): 4.3

---

It comes down to model 1, which is 0.027 eV/atom more stable than the next structure.

---

Model 1:
DFT (PBE-GGA) results for a geometry-optimized Nb2ReMoH structure.

Cell and atoms, written as POSCAR:
```
Nb2ReMoH
1.0
4.537 0.000 0.000
0.000 4.537 0.000
0.000 0.000 3.391
Nb Re Mo H
2 1 1 1
Cartesian
0.000 2.269 0.000
2.269 0.000 0.000
0.000 0.000 1.696
2.269 2.269 1.696
2.269 2.269 0.000
```

D(E_F) (states/eV/f.u.): 2.7

---

Model 2:
DFT (PBE-GGA) results for a geometry-optimized Nb2ReMoH structure.

Cell and atoms, written as POSCAR:
```
Nb2ReMoH
1.0
4.491 0.000 0.000
0.000 4.491 0.000
0.000 0.000 3.479
Nb Re Mo H
2 1 1 1
Cartesian
0.000 2.245 0.000
2.245 0.000 0.000
0.000 0.000 1.740
2.245 2.245 1.740
0.000 0.000 0.000
```

D(E_F) (states/eV/f.u.): 3.1

---

It comes down to model 1, which is 0.039 eV/atom more stable than the next structure.

---

Model 1:
DFT (PBE-GGA) results for a geometry-optimized NbMoHRh2 structure.

Cell and atoms, written as POSCAR:
```
NbMoHRh2
1.0
3.939 0.000 0.000
0.000 3.939 0.000
0.000 0.000 4.098
Nb Mo H Rh
1 1 1 2
Cartesian
0.000 0.000 0.000
1.969 1.969 0.000
1.969 1.969 2.049
0.000 1.969 2.049
1.969 0.000 2.049
```

D(E_F) (states/eV/f.u.): 2.4

---

Model 2:
DFT (PBE-GGA) results for a geometry-optimized NbMoHRh2 structure.

Cell and atoms, written as POSCAR:
```
NbMoHRh2
1.0
3.925 0.000 0.000
0.000 3.925 0.000
0.000 0.000 4.130
Nb Mo H Rh
1 1 1 2
Cartesian
0.000 0.000 0.000
1.963 1.963 0.000
0.000 0.000 2.065
0.000 1.963 2.065
1.963 0.000 2.065
```

D(E_F) (states/eV/f.u.): 2.3

---

It comes down to model 1, which is 0.019 eV/atom more stable than the next structure.